Entry from the Alexandria database: a geometry-optimized GeIrW2F structure (PBE+U).

```
5
Lattice="5.1937 0.0000 0.0000 0.0000 4.6185 0.0000 0.0000 0.0000 5.1937" Properties=species:S:1:pos:R:3 pbc="T T T"
Ge 0.0000 2.3092 0.0000
F 2.5969 2.3092 2.5969
W 0.0000 0.0000 2.5969
W 2.5969 0.0000 0.0000
Ir 0.0000 0.0000 0.0000
```

Computed properties:
* E: -26.2 eV per cell